# 1
Here is crystalline ZnTePt at its relaxed geometry from Alexandria. Energies are from PBE.

a = 6.571 Å, b = 6.571 Å, c = 3.124 Å
α = 76.23°, β = 76.26°, γ = 27.51°
Atoms (fractional coordinates):
Te1 0.345 0.345 0.655
Zn1 0.633 0.633 0.367
Pt1 0.022 0.022 0.978

Results
Symmetry: No. 107
Relative energy among the computed polymorphs, meV/atom: 335
ΔE_f (raw), eV/atom: 0.027


# 2
Here is crystalline ZnTe3Pt at its relaxed geometry from Alexandria. Energies are from PBE.

a = 5.353 Å, b = 5.353 Å, c = 5.353 Å
α = 90.00°, β = 90.00°, γ = 90.00°
Atoms (fractional coordinates):
Zn1 0.500 0.500 0.500
Te1 0.000 0.500 0.000
Te2 0.500 0.000 0.000
Te3 0.000 0.000 0.500
Pt1 0.000 0.000 0.000

Results
Symmetry: No. 221
Relative energy among the computed polymorphs, meV/atom: 0
ΔE_f (raw), eV/atom: 0.451


# 3
Here is crystalline ZnTePt2 at its relaxed geometry from Alexandria. Energies are from PBE.

a = 6.168 Å, b = 6.168 Å, c = 3.617 Å
α = 90.02°, β = 90.02°, γ = 34.37°
Atoms (fractional coordinates):
Zn1 0.266 0.266 0.125
Pt1 0.941 0.941 0.125
Pt2 0.757 0.757 0.625
Te1 0.536 0.536 0.625

Results
Symmetry: No. 38
Relative energy among the computed polymorphs, meV/atom: 0
ΔE_f (raw), eV/atom: -0.208


# 4
Here is crystalline ZnTePt2 at its relaxed geometry from Alexandria. Energies are from PBE.

a = 5.244 Å, b = 5.244 Å, c = 5.244 Å
α = 135.43°, β = 135.43°, γ = 64.86°
Atoms (fractional coordinates):
Pt1 0.000 0.000 0.000
Pt2 0.250 0.750 0.500
Zn1 0.750 0.250 0.500
Te1 0.500 0.500 0.000

Results
Symmetry: No. 119
Relative energy among the computed polymorphs, meV/atom: 128
ΔE_f (raw), eV/atom: -0.081


# 5
Here is crystalline ZnTePt2 at its relaxed geometry from Alexandria. Energies are from PBE.

a = 3.177 Å, b = 3.177 Å, c = 6.956 Å
α = 90.00°, β = 90.00°, γ = 89.97°
Atoms (fractional coordinates):
Pt1 0.000 0.000 0.962
Pt2 0.000 0.000 0.538
Zn1 0.500 0.500 0.750
Te1 0.500 0.500 0.250

Results
Symmetry: No. 123
Relative energy among the computed polymorphs, meV/atom: 71
ΔE_f (raw), eV/atom: -0.138


# 6
Here is crystalline ZnTePt4 at its relaxed geometry from Alexandria. Energies are from PBE.

a = 5.349 Å, b = 5.349 Å, c = 5.349 Å
α = 60.00°, β = 60.00°, γ = 60.00°
Atoms (fractional coordinates):
Pt1 0.375 0.375 0.875
Pt2 0.375 0.375 0.375
Pt3 0.875 0.375 0.375
Pt4 0.375 0.875 0.375
Te1 0.750 0.750 0.750
Zn1 0.000 0.000 0.000

Results
Symmetry: No. 216
ΔE_f (raw), eV/atom: 0.082


Number 1: spin magnetization 0.0 μB per cell, D(E_F) 1.71 states/eV per cell, E -3.458 eV per atom. Number 2: spin magnetization 0.0 μB per cell, D(E_F) 6.73 states/eV per cell, E -2.897 eV per atom. Number 3: spin magnetization 0.0 μB per cell, D(E_F) 1.75 states/eV per cell, E -4.333 eV per atom. Number 4: spin magnetization 0.0 μB per cell, D(E_F) 2.83 states/eV per cell, E -4.205 eV per atom. Number 5: spin magnetization 0.0 μB per cell, D(E_F) 1.92 states/eV per cell, E -4.262 eV per atom. Number 6: spin magnetization 0.0 μB per cell, D(E_F) 2.04 states/eV per cell, E -4.681 eV per atom.